1.
Cr2CoNi2: optimized geometry, GGA-PBE.

Calculated values
E above lowest polymorph ... 0.368 eV/atom
DFT formation energy ... 465.1 meV per atom
Total moment ... 1.45 μB per formula unit

Cell lengths 5.8988, 5.8988, 5.8988 Å; angles 146.86, 146.86, 47.57 degrees
Atoms (fractional coordinates):
Ni 0.7500 0.2500 0.5000
Ni 0.2500 0.7500 0.5000
Co 0.0000 0.0000 0.0000
Cr 0.5900 0.5900 0.0000
Cr 0.4100 0.4100 0.0000

2.
Cr2CoNi7: optimized geometry, GGA-PBE.

Calculated values
DFT formation energy ... 472.6 meV per atom
Total moment ... 1.65 μB per formula unit

Cell lengths 2.3984, 7.8308, 7.8308 Å; angles 122.26, 90.00, 90.00 degrees
Atoms (fractional coordinates):
Ni 0.5000 0.5000 0.5000
Ni 0.5000 0.8592 0.6707
Ni 0.0000 0.1790 0.8210
Ni 0.5000 0.1408 0.3293
Ni 0.0000 0.8210 0.1790
Ni 0.5000 0.3293 0.1408
Ni 0.5000 0.6707 0.8592
Cr 0.5000 0.3260 0.6740
Cr 0.5000 0.6740 0.3260
Co 0.0000 0.0000 0.0000

3.
CrCo2Ni4: optimized geometry, GGA-PBE.

Calculated values
E above lowest polymorph ... 0.000 eV/atom
DFT formation energy ... 174.7 meV per atom
Total moment ... 2.00 μB per formula unit

Cell lengths 6.0626, 4.5119, 6.5571 Å; angles 90.00, 117.90, 90.00 degrees
Atoms (fractional coordinates):
Ni 0.0396 0.7500 0.4250
Ni 0.9604 0.2500 0.5750
Ni 0.9707 0.2500 0.2112
Ni 0.0293 0.7500 0.7888
Ni 0.3863 0.4995 0.7718
Ni 0.6137 0.5005 0.2282
Ni 0.6137 0.9995 0.2282
Ni 0.3863 0.0005 0.7718
Cr 0.7666 0.2500 0.8085
Cr 0.2334 0.7500 0.1915
Co 0.2131 0.2500 0.0000
Co 0.7869 0.7500 0.0000
Co 0.4068 0.2500 0.4339
Co 0.5932 0.7500 0.5661

4.
CrCoNi4: optimized geometry, GGA-PBE.

Calculated values
E above lowest polymorph ... 0.094 eV/atom
DFT formation energy ... 232.8 meV per atom
Total moment ... 6.57 μB per formula unit

Cell lengths 4.6416, 4.6416, 4.6416 Å; angles 60.00, 60.00, 60.00 degrees
Atoms (fractional coordinates):
Ni 0.3752 0.3752 0.8744
Ni 0.3752 0.8744 0.3752
Ni 0.3752 0.3752 0.3752
Ni 0.8744 0.3752 0.3752
Cr 0.0000 0.0000 0.0000
Co 0.7500 0.7500 0.7500

5.
Cr4CoNi: optimized geometry, GGA-PBE.

Calculated values
DFT formation energy ... 266.8 meV per atom
Total moment ... 1.19 μB per formula unit

Cell lengths 4.6330, 4.6330, 4.6330 Å; angles 60.00, 60.00, 60.00 degrees
Atoms (fractional coordinates):
Ni 0.7500 0.7500 0.7500
Cr 0.3756 0.3756 0.8732
Cr 0.8732 0.3756 0.3756
Cr 0.3756 0.3756 0.3756
Cr 0.3756 0.8732 0.3756
Co 0.0000 0.0000 0.0000

6.
CrCo4Ni: optimized geometry, GGA-PBE.

Calculated values
E above lowest polymorph ... 0.153 eV/atom
DFT formation energy ... 203.6 meV per atom
Total moment ... 3.82 μB per formula unit

Cell lengths 4.6259, 4.6259, 4.6259 Å; angles 60.00, 60.00, 60.00 degrees
Atoms (fractional coordinates):
Co 0.6254 0.6254 0.1238
Co 0.6254 0.1238 0.6254
Co 0.6254 0.6254 0.6254
Co 0.1238 0.6254 0.6254
Ni 0.0000 0.0000 0.0000
Cr 0.2500 0.2500 0.2500

7.
CrCo6Ni2: optimized geometry, GGA-PBE.

Calculated values
DFT formation energy ... 350.6 meV per atom
Total moment ... 9.27 μB per formula unit

Cell lengths 6.6638, 2.4342, 12.7241 Å; angles 90.00, 90.00, 90.00 degrees
Atoms (fractional coordinates):
Co 0.1625 0.7728 0.0000
Co 0.3375 0.2728 0.5000
Co 0.1597 0.2555 0.8341
Co 0.1597 0.2555 0.1659
Co 0.6597 0.2445 0.3341
Co 0.8403 0.7445 0.8341
Co 0.6597 0.2445 0.6659
Co 0.3403 0.7555 0.6659
Co 0.8375 0.2272 0.0000
Co 0.6625 0.7272 0.5000
Co 0.8403 0.7445 0.1659
Co 0.3403 0.7555 0.3341
Ni 0.5000 0.5000 0.8251
Ni 0.0000 0.0000 0.3251
Ni 0.0000 0.0000 0.6749
Ni 0.5000 0.5000 0.1749
Cr 0.0000 0.0000 0.5000
Cr 0.5000 0.5000 0.0000

8.
Cr2Co2Ni5: optimized geometry, GGA-PBE.

Calculated values
DFT formation energy ... 208.9 meV per atom
Total moment ... 3.87 μB per formula unit

Cell lengths 4.3522, 6.1038, 5.8625 Å; angles 136.72, 74.62, 102.40 degrees
Atoms (fractional coordinates):
Ni 0.0000 0.0000 0.0000
Ni 0.0590 0.5826 0.3600
Ni 0.3664 0.2819 0.7504
Ni 0.9410 0.4174 0.6400
Ni 0.6336 0.7181 0.2496
Co 0.8133 0.1442 0.7912
Co 0.1867 0.8558 0.2088
Cr 0.4924 0.2742 0.2702
Cr 0.5076 0.7258 0.7298

9.
Cr2Co3Ni2: optimized geometry, GGA-PBE.

Calculated values
E above lowest polymorph ... 0.000 eV/atom
DFT formation energy ... 91.3 meV per atom
Total moment ... 2.77 μB per formula unit

Cell lengths 2.4564, 6.5845, 10.5759 Å; angles 152.67, 76.59, 100.74 degrees
Atoms (fractional coordinates):
Co 0.4283 0.6989 0.4210
Co 0.0000 0.0000 0.0000
Co 0.5717 0.3011 0.5790
Cr 0.7134 0.8603 0.7153
Cr 0.2866 0.1397 0.2847
Ni 0.8584 0.4195 0.8517
Ni 0.1416 0.5805 0.1483

10.
CrCo2Ni: optimized geometry, GGA-PBE.

Calculated values
DFT formation energy ... 61.5 meV per atom
Total moment ... 0.76 μB per formula unit

Cell lengths 2.4715, 3.5102, 4.9752 Å; angles 90.00, 90.00, 90.00 degrees
Atoms (fractional coordinates):
Co 0.0000 0.0000 0.0006
Co 0.0000 0.0000 0.4994
Ni 0.5000 0.5000 0.7500
Cr 0.5000 0.5000 0.2500

11.
CrCo8Ni6: optimized geometry, GGA-PBE.

Calculated values
DFT formation energy ... 284.9 meV per atom
Total moment ... 19.21 μB per formula unit

Cell lengths 4.7602, 6.5771, 6.5770 Å; angles 120.00, 90.00, 90.00 degrees
Atoms (fractional coordinates):
Cr 0.5000 0.0000 0.0000
Ni 0.8940 0.0204 0.6822
Ni 0.8940 0.3178 0.3382
Ni 0.8940 0.6618 0.9796
Ni 0.1060 0.3382 0.0204
Ni 0.1060 0.9796 0.3178
Ni 0.1060 0.6822 0.6618
Co 0.2314 0.3333 0.6667
Co 0.3914 0.9432 0.6174
Co 0.6086 0.3258 0.9432
Co 0.6086 0.0568 0.3826
Co 0.3914 0.3826 0.3258
Co 0.7686 0.6667 0.3333
Co 0.6086 0.6174 0.6742
Co 0.3914 0.6742 0.0568

12.
CrCoNi3: optimized geometry, GGA-PBE.

Calculated values
E above lowest polymorph ... 1.293 eV/atom
DFT formation energy ... 1331.0 meV per atom
Total moment ... 2.01 μB per formula unit

Cell lengths 4.1878, 4.1878, 4.1878 Å; angles 90.00, 90.00, 90.00 degrees
Atoms (fractional coordinates):
Cr 0.0000 0.0000 0.0000
Co 0.5000 0.5000 0.5000
Ni 0.0000 0.5000 0.0000
Ni 0.0000 0.0000 0.5000
Ni 0.5000 0.0000 0.0000

13.
CrCoNi4: optimized geometry, GGA-PBE.

Calculated values
E above lowest polymorph ... 0.050 eV/atom
DFT formation energy ... 188.7 meV per atom
Total moment ... 0.33 μB per formula unit

Cell lengths 4.7616, 4.8128, 7.2554 Å; angles 99.92, 99.62, 119.06 degrees
Atoms (fractional coordinates):
Cr 0.6250 0.3750 0.7500
Cr 0.3750 0.6250 0.2500
Ni 0.0336 0.7842 0.0652
Ni 0.5317 0.2810 0.0652
Ni 0.4683 0.7190 0.9348
Ni 0.2812 0.5318 0.5652
Ni 0.7840 0.0334 0.5652
Ni 0.7188 0.4682 0.4348
Ni 0.9664 0.2158 0.9348
Ni 0.2160 0.9666 0.4348
Co 0.1250 0.8750 0.7500
Co 0.8750 0.1250 0.2500

14.
CrCo2Ni: optimized geometry, GGA-PBE.

Calculated values
DFT formation energy ... 81.7 meV per atom
Total moment ... 2.49 μB per formula unit

Cell lengths 8.3095, 8.3095, 8.3095 Å; angles 17.18, 17.18, 17.18 degrees
Atoms (fractional coordinates):
Co 0.9997 0.9997 0.9997
Co 0.5003 0.5003 0.5003
Ni 0.7500 0.7500 0.7500
Cr 0.2500 0.2500 0.2500

15.
Cr2Co2Ni7: optimized geometry, GGA-PBE.

Calculated values
DFT formation energy ... 179.8 meV per atom
Total moment ... 1.18 μB per formula unit

Cell lengths 4.6389, 5.9331, 4.6389 Å; angles 81.95, 92.89, 81.95 degrees
Atoms (fractional coordinates):
Ni 0.0896 0.6906 0.4665
Ni 0.4665 0.6906 0.0896
Ni 0.0000 0.5000 0.0000
Ni 0.9104 0.3094 0.5335
Ni 0.1611 0.0740 0.1611
Ni 0.5335 0.3094 0.9104
Ni 0.8389 0.9260 0.8389
Cr 0.3940 0.3383 0.3940
Cr 0.6060 0.6617 0.6060
Co 0.3119 0.0000 0.6881
Co 0.6881 0.0000 0.3119

16.
CrCo2Ni: optimized geometry, GGA-PBE.

Calculated values
DFT formation energy ... 96.4 meV per atom
Total moment ... 2.52 μB per formula unit

Cell lengths 2.4900, 4.3201, 8.2665 Å; angles 85.03, 98.73, 90.01 degrees
Atoms (fractional coordinates):
Co 0.1676 0.6895 0.8203
Co 0.9169 0.1066 0.3219
Co 0.4168 0.6066 0.3219
Co 0.6676 0.1895 0.8203
Cr 0.5411 0.8983 0.5692
Cr 0.0411 0.3984 0.5692
Ni 0.2943 0.9804 0.0720
Ni 0.7943 0.4804 0.0720

17.
CrCoNi3: optimized geometry, GGA-PBE.

Calculated values
E above lowest polymorph ... 0.855 eV/atom
DFT formation energy ... 893.2 meV per atom
Total moment ... 0.37 μB per formula unit

Cell lengths 4.4372, 4.7705, 4.7698 Å; angles 114.57, 108.17, 108.25 degrees
Atoms (fractional coordinates):
Co 0.5000 0.0000 0.0000
Ni 0.0000 0.0000 0.5000
Ni 0.0000 0.5000 0.5000
Ni 0.0000 0.5000 0.0000
Cr 0.0000 0.0000 0.0000

18.
CrCo3Ni2: optimized geometry, GGA-PBE.

Calculated values
E above lowest polymorph ... 0.046 eV/atom
DFT formation energy ... 84.7 meV per atom
Total moment ... 3.96 μB per formula unit

Cell lengths 4.3131, 4.3125, 8.2445 Å; angles 85.01, 79.99, 60.00 degrees
Atoms (fractional coordinates):
Ni 0.1670 0.6661 0.5000
Ni 0.0000 0.0000 0.0000
Ni 0.5000 0.0000 0.5000
Ni 0.8330 0.3339 0.5000
Co 0.9170 0.6634 0.2487
Co 0.0830 0.3366 0.7513
Co 0.5804 0.3366 0.2487
Co 0.2537 0.0000 0.2474
Co 0.4196 0.6634 0.7513
Co 0.7463 0.0000 0.7526
Cr 0.6659 0.6683 0.0000
Cr 0.3341 0.3317 0.0000

19.
Cr2CoNi2: optimized geometry, GGA-PBE.

Calculated values
E above lowest polymorph ... 0.202 eV/atom
DFT formation energy ... 299.9 meV per atom
Total moment ... 0.01 μB per formula unit

Cell lengths 6.7158, 6.7158, 2.5379 Å; angles 90.00, 90.00, 90.00 degrees
Atoms (fractional coordinates):
Co 0.5000 0.5000 0.0000
Co 0.0000 0.0000 0.0000
Ni 0.6237 0.1237 0.0000
Ni 0.1237 0.3763 0.0000
Ni 0.3763 0.8763 0.0000
Ni 0.8763 0.6237 0.0000
Cr 0.8248 0.3248 0.5000
Cr 0.6752 0.8248 0.5000
Cr 0.3248 0.1752 0.5000
Cr 0.1752 0.6752 0.5000

20.
CrCo4Ni: optimized geometry, GGA-PBE.

Calculated values
E above lowest polymorph ... 0.000 eV/atom
DFT formation energy ... 50.8 meV per atom
Total moment ... 6.32 μB per formula unit

Cell lengths 2.4803, 2.4803, 10.6516 Å; angles 90.00, 90.00, 90.00 degrees
Atoms (fractional coordinates):
Ni 0.5000 0.5000 0.5000
Cr 0.0000 0.0000 0.0000
Co 0.5000 0.5000 0.8302
Co 0.0000 0.0000 0.3320
Co 0.0000 0.0000 0.6680
Co 0.5000 0.5000 0.1698

In order of appearance, D(E_F) = 1.07, 1.43, 1.35, 3.14, 1.13, 1.59, 1.30, 1.28, 1.62, 1.40, 1.32, 1.47, 1.34, 1.26, 1.41, 1.46, 1.67, 1.43, 1.88, 1.28 states/eV per atom.